DFT (PBE-GGA) results for Y8GaSe4S3 after structural relaxation.

Computed properties:
Its uncorrected formation energy is -27.84 eV per formula unit.

a b c (Å): 8.0403 8.0403 20.0489
angles (deg): 90.00 90.00 120.00
Closest atoms and distances in Å follow each position.
Space group R-3m (No. 166, hexagonal axes)
Asymmetric unit:
Y 0.0000 0.0000 0.2423  3 S 2.77, 3 Se 2.95
Y 0.0000 0.5000 0.2443  1 Ga 2.79, 2 S 2.79, 3 Se 2.93
Ga 0.0000 0.0000 0.5000  6 Y 2.79
Se 0.0000 0.0000 0.0000  6 Y 2.93
Se 0.0000 0.5000 0.0000  6 Y 2.93-2.95
S 0.0000 0.5000 0.5000  6 Y 2.77-2.79